Density functional theory data (meta-GGA SCAN) for a PBEsol-optimized structure of LiZrOs2.

Geometry as CIF:
```
data_LiZrOs2
_chemical_formula_sum 'Li3 Zr3 Os6'
_cell_length_a 2.7412
_cell_length_b 2.7412
_cell_length_c 28.1306
_cell_angle_alpha 90.00
_cell_angle_beta 90.00
_cell_angle_gamma 120.00
_symmetry_space_group_name_H-M 'R -3 m'
_symmetry_Int_Tables_number 166
_symmetry_space_group_name_Hall '-R 3 2"'
loop_
_atom_site_label
_atom_site_fract_x
_atom_site_fract_y
_atom_site_fract_z
_atom_site_occupancy
Li1 0.0000 0.0000 0.0000 1
Zr1 0.0000 0.0000 0.5000 1
Os1 0.0000 0.0000 0.2537 1
```

Computed properties:
* ΔE_f: 0.254 eV per atom
* size of the total moment: 0.000 μB per atom



Density functional theory data (meta-GGA SCAN) for a PBEsol-optimized structure of BaAsH3O5.

Geometry as CIF:
```
data_BaAsH3O5
_chemical_formula_sum 'Ba8 As8 H24 O40'
_cell_length_a 7.871
_cell_length_b 8.622
_cell_length_c 14.557
_cell_angle_alpha 90.00
_cell_angle_beta 90.00
_cell_angle_gamma 90.00
_symmetry_space_group_name_H-M 'P b c a'
_symmetry_Int_Tables_number 61
loop_
_symmetry_equiv_pos_as_xyz
'x,y,z'
'-x,-y,-z'
'-x+1/2,-y,z+1/2'
'x+1/2,y,-z+1/2'
'x+1/2,-y+1/2,-z'
'-x+1/2,y+1/2,z'
'-x,y+1/2,-z+1/2'
'x,-y+1/2,z+1/2'
loop_
_atom_site_label
_atom_site_fract_x
_atom_site_fract_y
_atom_site_fract_z
_atom_site_occupancy
Ba1 0.139 0.185 0.084 1
As1 0.152 0.062 0.385 1
H1 0.050 0.680 0.629 1
H2 0.095 0.601 0.727 1
H3 0.221 0.737 0.808 1
O1 0.011 0.663 0.066 1
O2 0.091 0.613 0.841 1
O3 0.120 0.598 0.659 1
O4 0.183 0.557 0.459 1
O5 0.212 0.168 0.285 1
```

Computed properties:
* VASP energy: -11.862 eV/atom
* size of the total moment: 0.000 μB per atom



Density functional theory data (meta-GGA SCAN) for a PBEsol-optimized structure of KHgBiPb2.

Geometry as CIF:
```
data_KHgBiPb2
_chemical_formula_sum 'K1 Hg1 Bi1 Pb2'
_cell_length_a 5.871
_cell_length_b 5.871
_cell_length_c 5.480
_cell_angle_alpha 90.00
_cell_angle_beta 90.00
_cell_angle_gamma 90.00
_symmetry_space_group_name_H-M 'P 4/m m m'
_symmetry_Int_Tables_number 123
_symmetry_space_group_name_Hall '-P 4 2'
loop_
_atom_site_label
_atom_site_fract_x
_atom_site_fract_y
_atom_site_fract_z
_atom_site_occupancy
K1 0.000 0.000 0.000 1
Hg1 0.000 0.000 0.500 1
Bi1 0.500 0.500 0.500 1
Pb1 0.000 0.500 0.000 1
```

Computed properties:
* ΔE_f: 0.785 eV per atom
* size of the total moment: 0.000 μB per atom



Density functional theory data (meta-GGA SCAN) for a PBEsol-optimized structure of LiAg2Pb.

Geometry as CIF:
```
data_LiAg2Pb
_chemical_formula_sum 'Li3 Ag6 Pb3'
_cell_length_a 3.1148
_cell_length_b 3.1148
_cell_length_c 28.3819
_cell_angle_alpha 90.00
_cell_angle_beta 90.00
_cell_angle_gamma 120.00
_symmetry_space_group_name_H-M 'R -3 m'
_symmetry_Int_Tables_number 166
_symmetry_space_group_name_Hall '-R 3 2"'
loop_
_atom_site_label
_atom_site_fract_x
_atom_site_fract_y
_atom_site_fract_z
_atom_site_occupancy
Li1 0.0000 0.0000 0.0000 1
Ag1 0.0000 0.0000 0.2582 1
Pb1 0.0000 0.0000 0.5000 1
```

Computed properties:
* ΔE_f: 0.060 eV per atom
* size of the total moment: 0.000 μB per atom



Density functional theory data (meta-GGA SCAN) for a PBEsol-optimized structure of InCuS3.

Geometry as CIF:
```
data_InCuS3
_chemical_formula_sum 'In1 Cu1 S3'
_cell_length_a 4.927
_cell_length_b 4.927
_cell_length_c 4.927
_cell_angle_alpha 90.00
_cell_angle_beta 90.00
_cell_angle_gamma 90.00
_symmetry_space_group_name_H-M 'P m -3 m'
_symmetry_Int_Tables_number 221
_symmetry_space_group_name_Hall '-P 4 2 3'
loop_
_atom_site_label
_atom_site_fract_x
_atom_site_fract_y
_atom_site_fract_z
_atom_site_occupancy
In1 0.000 0.000 0.000 1
Cu1 0.500 0.500 0.500 1
S1 0.000 0.000 0.500 1
```

Computed properties:
* formation energy (no corrections): 789.6 meV/atom
* size of the total moment: 0.000 μB per atom



Density functional theory data (meta-GGA SCAN) for a PBEsol-optimized structure of TiTc2B2.

Geometry as CIF:
```
data_TiTc2B2
_chemical_formula_sum 'Ti2 Tc4 B4'
_cell_length_a 5.962
_cell_length_b 5.962
_cell_length_c 2.977
_cell_angle_alpha 90.00
_cell_angle_beta 90.00
_cell_angle_gamma 90.00
_symmetry_space_group_name_H-M 'P 4/m b m'
_symmetry_Int_Tables_number 127
_symmetry_space_group_name_Hall '-P 4 2ab'
loop_
_atom_site_label
_atom_site_fract_x
_atom_site_fract_y
_atom_site_fract_z
_atom_site_occupancy
Ti1 0.000 0.000 0.000 1
Tc1 0.174 0.326 0.500 1
B1 0.112 0.612 0.000 1
```

Computed properties:
* ΔE_f: -0.584 eV per atom
* size of the total moment: 0.000 μB per atom



Q: size of the total moment of number 5 (InCuS3)?
A: 0.000 μB per atom



Q: size of the total moment of number 5 (InCuS3)?
A: 0.000 μB per atom